(1)
Compound: Y2Ho3In3
Source: Alexandria
Functional: PBE-GGA
Structure: relaxed

## Properties
formation enthalpy at 0 K	-2.88	eV/f.u.
V	222.7	Å³ per cell
final energy	-4.719	eV per atom
space group	Immm
DOS at the Fermi energy	6.35	states/eV/cell

a = 11.569 Å, b = 11.569 Å, c = 11.569 Å
α = 161.24°, β = 153.41°, γ = 32.74°
Sites, in units of the cell vectors:
Y  0.234  0.234  0.000
Y  0.766  0.766  0.000
Ho  0.000  0.000  0.000
Ho  0.376  0.876  0.500
Ho  0.624  0.124  0.500
In  0.119  0.619  0.500
In  0.500  0.500  0.000
In  0.881  0.381  0.500


(2)
Compound: PuBeZn2O6
Source: Alexandria
Functional: PBE-GGA
Structure: relaxed

## Properties
uncorrected formation energy	-1.978	eV per atom
V	117.7	Å³ per cell
final energy	-7.013	eV per atom
space group	P1
DOS at the Fermi energy	3.26	states/eV/cell

a = 5.111 Å, b = 5.212 Å, c = 5.395 Å
α = 61.84°, β = 78.25°, γ = 68.36°
Sites, in units of the cell vectors:
Pu  0.000  0.000  0.000
Be  0.665  0.817  0.656
Zn  0.024  0.296  0.363
Zn  0.357  0.522  0.641
O  0.231  0.579  0.300
O  0.234  0.220  0.009
O  0.310  0.911  0.671
O  0.761  0.452  0.679
O  0.781  0.792  0.947
O  0.788  0.051  0.374


(3)
Compound: Ac2HoPuSe6
Source: Alexandria
Functional: PBE-GGA
Structure: relaxed

## Properties
uncorrected formation energy	-1.784	eV per atom
V	327.3	Å³ per cell
final energy	-6.587	eV per atom
space group	R3
DOS at the Fermi energy	12.71	states/eV/cell

a = 7.894 Å, b = 7.894 Å, c = 7.894 Å
α = 57.44°, β = 57.44°, γ = 57.44°
Sites, in units of the cell vectors:
Ac  0.000  0.000  0.000
Ac  0.500  0.500  0.500
Ho  0.292  0.292  0.292
Pu  0.792  0.792  0.792
Se  0.074  0.656  0.425
Se  0.161  0.569  0.930
Se  0.425  0.074  0.656
Se  0.569  0.930  0.161
Se  0.656  0.425  0.074
Se  0.930  0.161  0.569


(4)
Compound: CsRbTc2
Source: Alexandria
Functional: PBE-GGA
Structure: relaxed

## Properties
formation enthalpy at 0 K	9.38	eV/f.u.
V	138.0	Å³ per cell
final energy	-3.293	eV per atom
space group	Fm-3m
DOS at the Fermi energy	2.34	states/eV/cell

a = 5.801 Å, b = 5.801 Å, c = 5.801 Å
α = 60.00°, β = 60.00°, γ = 60.00°
Sites, in units of the cell vectors:
Cs  0.000  0.000  0.000
Rb  0.500  0.500  0.500
Tc  0.250  0.250  0.250
Tc  0.750  0.750  0.750


(5)
Compound: Na2ZnS
Source: Alexandria
Functional: PBE-GGA
Structure: relaxed

## Properties
uncorrected formation energy	-0.454	eV per atom
V	86.6	Å³ per cell
final energy	-2.464	eV per atom
space group	Fm-3m
DOS at the Fermi energy	0.00	states/eV/cell

a = 4.965 Å, b = 4.965 Å, c = 4.965 Å
α = 60.00°, β = 60.00°, γ = 60.00°
Sites, in units of the cell vectors:
Na  0.250  0.250  0.250
Na  0.750  0.750  0.750
Zn  0.000  0.000  0.000
S  0.500  0.500  0.500


(6)
Compound: CsPH
Source: Alexandria
Functional: PBE-GGA
Structure: relaxed

## Properties
V	315.9	Å³ per cell
final energy	-3.381	eV per atom
space group	Pnma
DOS at the Fermi energy	3.77	states/eV/cell

a = 6.369 Å, b = 5.090 Å, c = 9.745 Å
α = 90.00°, β = 90.00°, γ = 90.00°
Sites, in units of the cell vectors:
Cs  0.060  0.250  0.153
Cs  0.440  0.750  0.653
Cs  0.560  0.250  0.347
Cs  0.940  0.750  0.847
P  0.043  0.250  0.521
P  0.457  0.750  0.021
P  0.543  0.250  0.979
P  0.957  0.750  0.479
H  0.118  0.750  0.375
H  0.382  0.250  0.875
H  0.618  0.750  0.125
H  0.882  0.250  0.625


(7)
Compound: Cs2BSbI6
Source: Alexandria
Functional: PBE-GGA
Structure: relaxed

## Properties
uncorrected formation energy	-0.455	eV per atom
V	408.1	Å³ per cell
final energy	-2.635	eV per atom
space group	I4/mmm
DOS at the Fermi energy	0.01	states/eV/cell

a = 8.315 Å, b = 8.315 Å, c = 8.315 Å
α = 119.75°, β = 119.75°, γ = 90.43°
Sites, in units of the cell vectors:
Cs  0.250  0.750  0.500
Cs  0.750  0.250  0.500
B  0.000  0.000  0.000
Sb  0.500  0.500  0.000
I  0.239  0.239  0.000
I  0.241  0.241  0.482
I  0.241  0.759  0.000
I  0.759  0.241  0.000
I  0.759  0.759  0.518
I  0.761  0.761  0.000


(8)
Compound: BaLi3S
Source: Alexandria
Functional: PBE-GGA
Structure: relaxed

## Properties
uncorrected formation energy	1.031	eV per atom
V	212.6	Å³ per cell
final energy	-1.327	eV per atom
space group	Pm-3m
DOS at the Fermi energy	7.77	states/eV/cell

a = 5.968 Å, b = 5.968 Å, c = 5.968 Å
α = 90.00°, β = 90.00°, γ = 90.00°
Sites, in units of the cell vectors:
Ba  0.000  0.000  0.000
Li  0.000  0.000  0.500
Li  0.000  0.500  0.000
Li  0.500  0.000  0.000
S  0.500  0.500  0.500


(9)
Compound: Li2CrPd9
Source: Alexandria
Functional: PBE-GGA
Structure: relaxed

## Properties
formation enthalpy at 0 K	-2.33	eV/f.u.
V	177.6	Å³ per cell
final energy	-5.209	eV per atom
space group	P4/mmm
DOS at the Fermi energy	18.49	states/eV/cell

a = 3.898 Å, b = 3.898 Å, c = 11.683 Å
α = 90.00°, β = 90.00°, γ = 90.00°
Sites, in units of the cell vectors:
Li  0.000  0.000  0.164
Li  0.000  0.000  0.836
Cr  0.000  0.000  0.500
Pd  0.000  0.500  0.000
Pd  0.000  0.500  0.334
Pd  0.000  0.500  0.666
Pd  0.500  0.000  0.000
Pd  0.500  0.000  0.334
Pd  0.500  0.000  0.666
Pd  0.500  0.500  0.166
Pd  0.500  0.500  0.500
Pd  0.500  0.500  0.834


(10)
Compound: BeNi2Ru
Source: Alexandria
Functional: PBE-GGA
Structure: relaxed

## Properties
formation enthalpy at 0 K	-0.19	eV/f.u.
V	44.2	Å³ per cell
final energy	-6.190	eV per atom
space group	P2/m
DOS at the Fermi energy	4.17	states/eV/cell

a = 2.527 Å, b = 3.736 Å, c = 4.780 Å
α = 90.00°, β = 101.92°, γ = 90.00°
Sites, in units of the cell vectors:
Be  0.000  0.000  0.000
Ni  0.410  0.500  0.235
Ni  0.590  0.500  0.765
Ru  0.000  0.000  0.500


(11)
Compound: ZnH4Rh4
Source: Alexandria
Functional: PBE-GGA
Structure: relaxed

## Properties
V	85.1	Å³ per cell
final energy	-4.897	eV per atom
space group	P-1
DOS at the Fermi energy	9.06	states/eV/cell

a = 2.895 Å, b = 4.444 Å, c = 7.090 Å
α = 107.75°, β = 94.04°, γ = 99.05°
Sites, in units of the cell vectors:
Zn  0.000  0.000  0.000
H  0.217  0.587  0.614
H  0.342  0.778  0.286
H  0.658  0.222  0.714
H  0.783  0.413  0.386
Rh  0.238  0.454  0.827
Rh  0.242  0.177  0.399
Rh  0.758  0.823  0.601
Rh  0.762  0.546  0.173


(12)
Compound: Ac12Pm3Sm
Source: Alexandria
Functional: PBE-GGA
Structure: relaxed

## Properties
formation enthalpy at 0 K	0.42	eV/f.u.
V	674.0	Å³ per cell
final energy	-4.241	eV per atom
space group	P4/mmm
DOS at the Fermi energy	27.22	states/eV/cell

a = 5.530 Å, b = 5.530 Å, c = 22.043 Å
α = 90.00°, β = 90.00°, γ = 90.00°
Sites, in units of the cell vectors:
Ac  0.000  0.000  0.000
Ac  0.000  0.000  0.250
Ac  0.000  0.000  0.500
Ac  0.000  0.000  0.750
Ac  0.000  0.500  0.125
Ac  0.000  0.500  0.375
Ac  0.000  0.500  0.625
Ac  0.000  0.500  0.875
Ac  0.500  0.000  0.125
Ac  0.500  0.000  0.375
Ac  0.500  0.000  0.625
Ac  0.500  0.000  0.875
Pm  0.500  0.500  0.000
Pm  0.500  0.500  0.250
Pm  0.500  0.500  0.750
Sm  0.500  0.500  0.500


(13)
Compound: SbTeCl2
Source: Alexandria
Functional: PBE-GGA
Structure: relaxed

## Properties
uncorrected formation energy	-0.108	eV per atom
V	105.8	Å³ per cell
final energy	-2.848	eV per atom
space group	P2/m
DOS at the Fermi energy	2.28	states/eV/cell

a = 3.294 Å, b = 4.893 Å, c = 6.563 Å
α = 90.00°, β = 90.03°, γ = 90.00°
Sites, in units of the cell vectors:
Sb  0.000  0.000  0.000
Te  0.000  0.000  0.500
Cl  0.013  0.500  0.762
Cl  0.987  0.500  0.238


(14)
Compound: K2HfGaTe5
Source: Alexandria
Functional: PBE-GGA
Structure: relaxed

## Properties
uncorrected formation energy	-0.725	eV per atom
V	671.6	Å³ per cell
final energy	-4.156	eV per atom
space group	Cmc2_1
DOS at the Fermi energy	8.67	states/eV/cell

a = 11.022 Å, b = 11.022 Å, c = 15.383 Å
α = 90.00°, β = 90.00°, γ = 158.94°
Sites, in units of the cell vectors:
K  0.123  0.877  0.500
K  0.135  0.865  0.866
K  0.865  0.135  0.366
K  0.877  0.123  0.000
Hf  0.206  0.794  0.206
Hf  0.794  0.206  0.706
Ga  0.427  0.573  0.595
Ga  0.573  0.427  0.095
Te  0.063  0.937  0.207
Te  0.301  0.699  0.836
Te  0.304  0.696  0.565
Te  0.334  0.666  0.181
Te  0.489  0.511  0.451
Te  0.511  0.489  0.951
Te  0.666  0.334  0.681
Te  0.696  0.304  0.065
Te  0.699  0.301  0.336
Te  0.937  0.063  0.707


(15)
Compound: ThTeClO4
Source: Alexandria
Functional: PBE-GGA
Structure: relaxed

## Properties
uncorrected formation energy	-1.966	eV per atom
V	265.8	Å³ per cell
final energy	-6.572	eV per atom
space group	C2/m
DOS at the Fermi energy	1.87	states/eV/cell

a = 6.424 Å, b = 6.424 Å, c = 6.962 Å
α = 97.94°, β = 97.94°, γ = 69.84°
Sites, in units of the cell vectors:
Th  0.224  0.224  0.126
Th  0.776  0.776  0.874
Te  0.373  0.373  0.694
Te  0.627  0.627  0.306
Cl  0.028  0.028  0.775
Cl  0.972  0.972  0.225
O  0.127  0.492  0.852
O  0.241  0.241  0.461
O  0.441  0.441  0.211
O  0.492  0.127  0.852
O  0.508  0.873  0.148
O  0.559  0.559  0.789
O  0.759  0.759  0.539
O  0.873  0.508  0.148


(16)
Compound: Y5USb6
Source: Alexandria
Functional: PBE-GGA
Structure: relaxed

## Properties
uncorrected formation energy	-0.995	eV per atom
V	359.1	Å³ per cell
final energy	-6.690	eV per atom
space group	C2/m
DOS at the Fermi energy	10.81	states/eV/cell

a = 7.608 Å, b = 7.608 Å, c = 7.604 Å
α = 99.59°, β = 99.59°, γ = 120.06°
Sites, in units of the cell vectors:
Y  0.000  0.000  0.000
Y  0.166  0.834  0.500
Y  0.333  0.667  0.000
Y  0.667  0.333  0.000
Y  0.834  0.166  0.500
U  0.500  0.500  0.500
Sb  0.084  0.417  0.250
Sb  0.251  0.251  0.749
Sb  0.417  0.084  0.250
Sb  0.583  0.916  0.750
Sb  0.749  0.749  0.251
Sb  0.916  0.583  0.750


(17)
Compound: PmBe2Cu5
Source: Alexandria
Functional: PBE-GGA
Structure: relaxed

## Properties
formation enthalpy at 0 K	-0.50	eV/f.u.
V	109.7	Å³ per cell
final energy	-4.148	eV per atom
space group	Immm
DOS at the Fermi energy	3.95	states/eV/cell

a = 5.928 Å, b = 5.928 Å, c = 5.928 Å
α = 144.85°, β = 110.32°, γ = 80.51°
Sites, in units of the cell vectors:
Pm  0.000  0.000  0.000
Be  0.255  0.755  0.500
Be  0.745  0.245  0.500
Cu  0.159  0.345  0.814
Cu  0.470  0.655  0.814
Cu  0.500  0.000  0.500
Cu  0.530  0.345  0.186
Cu  0.841  0.655  0.186


(18)
Compound: Nd8Ni2Hg
Source: Alexandria
Functional: PBE-GGA
Structure: relaxed

## Properties
formation enthalpy at 0 K	-1.12	eV/f.u.
V	324.3	Å³ per cell
final energy	-4.648	eV per atom
space group	Cm
DOS at the Fermi energy	12.96	states/eV/cell

a = 8.138 Å, b = 8.138 Å, c = 5.641 Å
α = 98.00°, β = 98.00°, γ = 115.89°
Sites, in units of the cell vectors:
Nd  0.000  0.000  0.000
Nd  0.055  0.308  0.619
Nd  0.147  0.635  0.192
Nd  0.308  0.055  0.619
Nd  0.474  0.727  0.764
Nd  0.635  0.147  0.192
Nd  0.727  0.474  0.764
Nd  0.781  0.781  0.382
Ni  0.095  0.688  0.692
Ni  0.688  0.095  0.692
Hg  0.390  0.390  0.191


(19)
Compound: RbSi2Br8
Source: Alexandria
Functional: PBE-GGA
Structure: relaxed

## Properties
uncorrected formation energy	-0.811	eV per atom
V	448.1	Å³ per cell
final energy	-3.102	eV per atom
space group	C2/m
DOS at the Fermi energy	4.15	states/eV/cell

a = 7.939 Å, b = 7.939 Å, c = 8.909 Å
α = 107.61°, β = 107.61°, γ = 58.31°
Sites, in units of the cell vectors:
Rb  0.000  0.000  0.000
Si  0.204  0.204  0.699
Si  0.796  0.796  0.301
Br  0.113  0.640  0.243
Br  0.182  0.182  0.433
Br  0.360  0.887  0.757
Br  0.378  0.378  0.859
Br  0.622  0.622  0.141
Br  0.640  0.113  0.243
Br  0.818  0.818  0.567
Br  0.887  0.360  0.757


(20)
Compound: GdThMnNi
Source: Alexandria
Functional: PBE-GGA
Structure: relaxed

## Properties
formation enthalpy at 0 K	0.18	eV/f.u.
V	85.3	Å³ per cell
final energy	-9.068	eV per atom
space group	F-43m
DOS at the Fermi energy	7.73	states/eV/cell

a = 4.940 Å, b = 4.940 Å, c = 4.940 Å
α = 60.00°, β = 60.00°, γ = 60.00°
Sites, in units of the cell vectors:
Gd  0.000  0.000  0.000
Th  0.500  0.500  0.500
Mn  0.250  0.250  0.250
Ni  0.750  0.750  0.750